# CaCu2Pb

An optimized crystal structure of CaCu2Pb (GGA-PBE, Alexandria).

Properties
- DFT formation energy (meV per atom) = 12
- DOS(E_F) (states/eV per cell) = 3.0
- final energy (eV per atom) = -3.463
- size of the total moment (μB/atom) = 0.000

abc: 3.8042 4.9468 8.9963
angles: 90.00 90.00 90.00
Last column: nearest neighbours and their distance in Å.
Space group Imm2 (No. 44)
One atom of each set of equivalent atoms:
Ca (0.0000, 0.0000, 0.0000)  4 Pb 3.13-3.21, 8 Cu 3.14-3.17
Cu (0.0000, 0.0000, 0.4588)  2 Cu 2.49
Cu (0.0000, 0.5000, 0.7796)  2 Cu 2.49
Pb (0.0000, 0.5000, 0.2128)  8 Cu 2.97-3.32, 4 Ca 3.13-3.21



# Hf3AsPb

An optimized crystal structure of Hf3AsPb (GGA-PBE, Alexandria).

Properties
- DFT formation energy (meV per atom) = 1457
- DOS(E_F) (states/eV per cell) = 9.3
- energy relative to the lowest polymorph listed for this composition (meV per atom) = 1280
- final energy (eV per atom) = -6.187
- size of the total moment (μB/atom) = 0.000

abc: 5.3029 5.3029 5.3029
angles: 90.00 90.00 90.00
Last column: nearest neighbours and their distance in Å.
Space group Pm-3m (No. 221)
One atom of each set of equivalent atoms:
Hf (0.0000, 0.0000, 0.5000)  2 Pb 2.65
As (0.5000, 0.5000, 0.5000)  12 Hf 3.75
Pb (0.0000, 0.0000, 0.0000)  6 Hf 2.65



# La2AlBiRu

An optimized crystal structure of La2AlBiRu (GGA-PBE, Alexandria).

Properties
- DFT formation energy (meV per atom) = -585
- DOS(E_F) (states/eV per cell) = 3.2
- final energy (eV per atom) = -5.936
- size of the total moment (μB/atom) = 0.000

abc: 5.4484 5.4484 4.8712
angles: 90.00 90.00 90.00
Last column: nearest neighbours and their distance in Å.
Space group P4/mmm (No. 123)
One atom of each set of equivalent atoms:
La (0.0000, 0.5000, 0.0000)  2 Ru 2.72
Al (0.0000, 0.0000, 0.5000)  2 Ru 2.44
Bi (0.5000, 0.5000, 0.5000)  8 La 3.65, 4 Al 3.85
Ru (0.0000, 0.0000, 0.0000)  2 Al 2.44, 4 La 2.72



# YCdFe

An optimized crystal structure of YCdFe (GGA-PBE, Alexandria).

Properties
- DFT formation energy (meV per atom) = -71
- DOS(E_F) (states/eV per cell) = 13.2
- final energy (eV per atom) = -5.352
- size of the total moment (μB/atom) = 0.002

abc: 13.2678 3.8299 5.0903
angles: 90.00 103.14 90.00
Last column: nearest neighbours and their distance in Å.
Space group C2/m (No. 12)
One atom of each set of equivalent atoms:
Y (0.1365, 0.0000, 0.3295)  4 Fe 2.74-3.01
Cd (0.0713, 0.5000, 0.7854)  3 Fe 2.72-2.83
Fe (0.2325, 0.0000, 0.9066)  2 Fe 2.14



# LiAcCePt

An optimized crystal structure of LiAcCePt (GGA-PBE, Alexandria).

Properties
- DFT formation energy (meV per atom) = -393
- DOS(E_F) (states/eV per cell) = 35.4
- final energy (eV per atom) = -4.892
- size of the total moment (μB/atom) = 0.254

abc: 7.4490 7.4490 7.4490
angles: 90.00 90.00 90.00
Last column: nearest neighbours and their distance in Å.
Space group F-43m (No. 216)
One atom of each set of equivalent atoms:
Li (0.0000, 0.0000, 0.0000)  4 Ac 3.23, 4 Ce 3.23
Ac (0.2500, 0.2500, 0.2500)  4 Li 3.23, 4 Pt 3.23
Ce (0.2500, 0.2500, 0.7500)  4 Li 3.23, 4 Pt 3.23
Pt (0.0000, 0.0000, 0.5000)  4 Ac 3.23, 4 Ce 3.23



# AcAuCl

An optimized crystal structure of AcAuCl (GGA-PBE, Alexandria).

Properties
- formation energy (no corrections) (meV/atom) = -1113
- DOS(E_F) (states/eV per cell) = 3.8
- energy relative to the lowest polymorph listed for this composition (meV per atom) = 306
- final energy (eV per atom) = -4.191
- size of the total moment (μB/atom) = 0.000

abc: 4.2072 4.2072 9.3723
angles: 90.00 90.00 90.00
Last column: nearest neighbours and their distance in Å.
Space group I4mm (No. 107)
One atom of each set of equivalent atoms:
Ac (0.0000, 0.0000, 0.0000)  5 Cl 3.09-3.38, 5 Au 3.28-3.29
Au (0.0000, 0.0000, 0.6486)  1 Cl 2.99, 5 Ac 3.28-3.29
Cl (0.0000, 0.0000, 0.3295)  1 Au 2.99, 1 Ac 3.09